A relaxed Zn2NiW crystal, computed with PBE.

Cell: 2.668 3.682 5.633 Å, 90.00 90.00 90.00°
Space group Pmm2 (No. 25)
One atom of each set of equivalent atoms:
Zn (0.000, 0.000, 0.000) (multiplicity 1)
Zn (0.500, 0.500, 0.242) (multiplicity 1)
Ni (0.000, 0.000, 0.496) (multiplicity 1)
W (0.500, 0.500, 0.720) (multiplicity 1)

Calculated values
Size of the total moment (μB per formula unit): 0.00
Energy of formation (eV per atom): 0.127

=====

A relaxed ZnNi2W crystal, computed with PBE.

Cell: 3.863 3.863 3.503 Å, 90.00 90.00 90.00°
Space group P4/mmm (No. 123)
One atom of each set of equivalent atoms:
Zn (0.000, 0.000, 0.000) (multiplicity 1)
Ni (0.000, 0.500, 0.500) (multiplicity 2)
W (0.500, 0.500, 0.000) (multiplicity 1)

Calculated values
Size of the total moment (μB per formula unit): 2.25
Energy of formation (eV per atom): 0.230

=====

A relaxed Zn2NiW crystal, computed with PBE.

Cell: 2.774 4.480 4.490 Å, 90.00 90.00 90.00°
Space group Pmmm (No. 47)
One atom of each set of equivalent atoms:
Zn (0.000, 0.000, 0.000) (multiplicity 1)
Zn (0.500, 0.500, 0.000) (multiplicity 1)
Ni (0.000, 0.500, 0.500) (multiplicity 1)
W (0.500, 0.000, 0.500) (multiplicity 1)

Calculated values
Size of the total moment (μB per formula unit): 0.00
Energy of formation (eV per atom): 0.219